## LaFeBiO6 (PBE with a Hubbard U)

Data for a geometry-optimized LaFeBiO6 structure.

Values from the calculation:
raw total energy	-6.41	eV/atom

abc: 5.530 6.029 9.768
angles: 90.00 124.20 90.00
Space group Pc (No. 7)
Unique sites:
La1 0.000 0.165 0.000 (multiplicity 2)
Fe1 0.239 0.279 0.750 (multiplicity 2)
Bi1 0.741 0.288 0.252 (multiplicity 2)
O1 0.039 0.029 0.270 (multiplicity 2)
O2 0.358 0.444 0.199 (multiplicity 2)
O3 0.491 0.020 0.733 (multiplicity 2)
O4 0.568 0.262 0.993 (multiplicity 2)
O5 0.949 0.229 0.509 (multiplicity 2)
O6 0.971 0.416 0.797 (multiplicity 2)